Ba3Rh | PBE | optimized geometry

As for the total energy: -12.49 eV per cell. Its size of the total moment is 0.0 μB/cell. As for the crystal system: tetragonal. The calculation puts the formation energy at 0.16 eV per atom.

Lattice parameters (Å, degrees): 5.160 5.160 7.128 90.00 90.00 90.00
Atoms (fractional coordinates):
Ba: 0.500 0.000 0.993
Ba: 0.500 0.500 0.444
Ba: 0.000 0.500 0.993
Rh: 0.000 0.000 0.241


Mg6Ag2Pt | PBE | optimized geometry

As for the total energy: -24.02 eV per cell. Its size of the total moment is 0.0 μB/cell. As for the crystal system: monoclinic. Its energy relative to the lowest polymorph listed for this composition is 0.000 eV per atom. The calculation puts the formation energy at -0.30 eV per atom.

Lattice parameters (Å, degrees): 4.737 4.735 8.850 90.05 90.00 120.01
Atoms (fractional coordinates):
Ag: 0.667 0.333 0.258
Ag: 0.333 0.667 0.742
Mg: 0.333 0.667 0.062
Mg: 0.667 0.333 0.585
Mg: 0.000 0.000 0.200
Mg: 0.667 0.333 0.938
Mg: 0.333 0.667 0.415
Mg: 0.000 0.000 0.800
Pt: 0.000 0.000 0.500


AcY4Te5 | PBE | optimized geometry

As for the total energy: -59.05 eV per cell. Its size of the total moment is 0.0 μB/cell. As for the crystal system: monoclinic. The uncorrected formation energy is -1.3372 eV/atom.

Lattice parameters (Å, degrees): 4.409 7.714 9.928 75.52 77.17 73.39
Atoms (fractional coordinates):
Te: 0.794 0.093 0.318
Te: 0.206 0.907 0.682
Te: 0.000 0.500 0.500
Te: 0.387 0.332 0.893
Te: 0.613 0.668 0.107
Y: 0.406 0.796 0.392
Y: 0.594 0.204 0.608
Y: 0.206 0.379 0.208
Y: 0.794 0.621 0.792
Ac: 0.000 0.000 0.000


DyCoSi2Ni | PBE | optimized geometry

As for the total energy: -32.45 eV per cell. Its size of the total moment is 1.0 μB/cell. As for the crystal system: tetragonal. The uncorrected formation energy is -0.8239 eV/atom.

Lattice parameters (Å, degrees): 3.925 3.925 5.575 110.61 110.61 90.00
Atoms (fractional coordinates):
Si: 0.373 0.373 0.747
Si: 0.627 0.627 0.253
Co: 0.750 0.250 0.500
Ni: 0.250 0.750 0.500
Dy: 0.000 0.000 0.000